Entry from the Alexandria database: crystalline NdTm3Tl2 at its relaxed geometry (PBE).

abc: 5.094 9.956 6.804
angles: 90.00 90.00 90.00
Fractional positions:
Nd 0.000 0.043 0.000
Nd 0.000 0.957 0.500
Tm 0.000 0.318 0.617
Tm 0.000 0.682 0.117
Tm 0.500 0.195 0.280
Tm 0.500 0.456 0.905
Tm 0.500 0.544 0.405
Tm 0.500 0.805 0.780
Tl 0.000 0.369 0.159
Tl 0.000 0.631 0.659
Tl 0.500 0.139 0.736
Tl 0.500 0.861 0.236

Crystal system   orthorhombic
Offset from the most stable computed form   0 meV/atom

Entry from the Alexandria database: crystalline Nd6TmTl2 at its relaxed geometry (PBE).

abc: 6.843 6.843 12.209
angles: 107.08 107.08 32.44
Fractional positions:
Nd 0.019 0.019 0.344
Nd 0.306 0.306 0.406
Nd 0.320 0.320 0.123
Nd 0.680 0.680 0.877
Nd 0.694 0.694 0.594
Nd 0.981 0.981 0.656
Tm 0.000 0.000 0.000
Tl 0.364 0.364 0.809
Tl 0.636 0.636 0.191

Crystal system   monoclinic
Offset from the most stable computed form   0 meV/atom

Entry from the Alexandria database: crystalline Nd5TmTl6 at its relaxed geometry (PBE).

abc: 5.513 7.693 8.704
angles: 90.00 108.09 90.00
Fractional positions:
Nd 0.000 0.000 0.000
Nd 0.330 0.000 0.659
Nd 0.334 0.500 0.668
Nd 0.666 0.500 0.332
Nd 0.670 0.000 0.341
Tm 0.000 0.500 0.000
Tl 0.163 0.256 0.326
Tl 0.163 0.744 0.326
Tl 0.500 0.254 0.000
Tl 0.500 0.746 0.000
Tl 0.837 0.256 0.674
Tl 0.837 0.744 0.674

Crystal system   monoclinic

Entry from the Alexandria database: crystalline Nd5TmTl6 at its relaxed geometry (PBE).

abc: 5.497 7.739 9.501
angles: 113.93 106.69 90.11
Fractional positions:
Nd 0.000 0.000 0.000
Nd 0.328 0.328 0.656
Nd 0.335 0.836 0.671
Nd 0.665 0.164 0.329
Nd 0.672 0.672 0.344
Tm 0.000 0.500 0.000
Tl 0.163 0.420 0.325
Tl 0.163 0.905 0.325
Tl 0.499 0.737 0.999
Tl 0.501 0.263 0.001
Tl 0.837 0.095 0.675
Tl 0.837 0.580 0.675

Crystal system   triclinic

Entry from the Alexandria database: crystalline Nd6Tm2Tl at its relaxed geometry (PBE).

abc: 11.423 11.423 11.423
angles: 147.36 132.41 58.90
Fractional positions:
Nd 0.008 0.444 0.791
Nd 0.080 0.080 0.000
Nd 0.153 0.944 0.436
Nd 0.347 0.783 0.791
Nd 0.420 0.420 0.000
Nd 0.492 0.283 0.436
Nd 0.508 0.717 0.564
Nd 0.580 0.580 0.000
Nd 0.653 0.217 0.209
Nd 0.847 0.056 0.564
Nd 0.920 0.920 0.000
Nd 0.992 0.556 0.209
Tm 0.173 0.417 0.590
Tm 0.327 0.917 0.244
Tm 0.673 0.083 0.756
Tm 0.827 0.583 0.410
Tl 0.250 0.250 0.000
Tl 0.750 0.750 0.000

Crystal system   orthorhombic
Offset from the most stable computed form   0 meV/atom

Entry from the Alexandria database: crystalline Nd6Tm2Tl at its relaxed geometry (PBE).

abc: 9.782 9.782 3.474
angles: 90.10 90.10 61.27
Fractional positions:
Nd 0.168 0.832 0.000
Nd 0.177 0.497 0.003
Nd 0.497 0.177 0.003
Nd 0.503 0.823 0.997
Nd 0.823 0.503 0.997
Nd 0.832 0.168 0.000
Tm 0.167 0.167 0.500
Tm 0.833 0.833 0.500
Tl 0.500 0.500 0.500

Crystal system   monoclinic
Offset from the most stable computed form   32 meV/atom

| no. | ΔE_f (eV per atom) |
| --- | --- |
| 1 | -0.256 |
| 2 | -0.150 |
| 3 | -0.373 |
| 4 | -0.372 |
| 5 | -0.013 |
| 6 | 0.019 |